# PBE-GGA KUSe2, optimized geometry
data_KUSe2
_chemical_formula_sum 'K1 U1 Se2'
_symmetry_space_group_name_H-M 'P 4/m m m'
_symmetry_Int_Tables_number 123
_symmetry_space_group_name_Hall '-P 4 2'
_cell_length_a 3.610
_cell_length_b 3.610
_cell_length_c 7.963
_cell_angle_alpha 90.00
_cell_angle_beta 90.00
_cell_angle_gamma 90.00
loop_
_atom_site_label
_atom_site_fract_x
_atom_site_fract_y
_atom_site_fract_z
K1 0.000 0.000 0.000
U1 0.000 0.000 0.500
Se1 0.500 0.500 0.291
# Crystal system: tetragonal
# E_form (uncorrected), meV per atom: -1127
# Density of states at the Fermi level, states/eV/f.u.: 5.711